RbNpRuS3: optimized geometry, PBE-GGA.

Calculated values
* formation energy from raw total energies: -1019 meV per atom
* total magnetic moment: 3.48 μB per formula unit
* crystal system: monoclinic
* raw total energy: -6.947 eV per atom

Geometry as CIF:
```
data_RbNpRuS3
_chemical_formula_sum 'Rb2 Np2 Ru2 S6'
_cell_length_a 9.0514
_cell_length_b 3.9277
_cell_length_c 9.4754
_cell_angle_alpha 90.00
_cell_angle_beta 109.95
_cell_angle_gamma 90.00
_space_group_name_H-M_alt 'P 1 21/m 1'
_space_group_IT_number 11
_space_group_name_Hall '-P 2yb'
loop_
_atom_site_label
_atom_site_type_symbol
_atom_site_fract_x
_atom_site_fract_y
_atom_site_fract_z
Rb1 Rb 0.2012 0.2500 0.2374
Np1 Np 0.3261 0.7500 0.8440
Ru1 Ru 0.0817 0.2500 0.5939
S1 S 0.1300 0.2500 0.8558
S2 S 0.1898 0.7500 0.5367
S3 S 0.4609 0.7500 0.1491
```